Record 1
Below is crystalline VInCu2As at its relaxed geometry, with properties calculated at the PBE level.

```
data_VInCu2As
_chemical_formula_sum 'V1 In1 Cu2 As1'
_symmetry_space_group_name_H-M 'P 1'
_symmetry_Int_Tables_number 1
_cell_length_a 4.607
_cell_length_b 4.607
_cell_length_c 5.141
_cell_angle_alpha 90.00
_cell_angle_beta 90.00
_cell_angle_gamma 90.00
loop_
_symmetry_equiv_pos_as_xyz
'x,y,z'
loop_
_atom_site_label
_atom_site_fract_x
_atom_site_fract_y
_atom_site_fract_z
V1 0.000 0.000 0.000
In1 0.000 0.000 0.500
Cu1 0.000 0.500 0.000
Cu2 0.500 0.000 0.000
As1 0.500 0.500 0.500
```

Calculated values
Total magnetic moment = 1.5 μB per formula unit
Formation energy = 1.18 eV/atom
Symmetry = No. 123
Crystal system = tetragonal
Calculated total energy = -3.761 eV per atom

Record 2
Below is crystalline CuAsIr2 at its relaxed geometry, with properties calculated at the PBE level.

```
data_CuAsIr2
_chemical_formula_sum 'Cu1 As1 Ir2'
_symmetry_space_group_name_H-M 'P 1'
_symmetry_Int_Tables_number 1
_cell_length_a 8.130
_cell_length_b 8.130
_cell_length_c 8.130
_cell_angle_alpha 20.62
_cell_angle_beta 20.62
_cell_angle_gamma 20.62
loop_
_symmetry_equiv_pos_as_xyz
'x,y,z'
loop_
_atom_site_label
_atom_site_fract_x
_atom_site_fract_y
_atom_site_fract_z
Cu1 0.000 0.000 0.000
As1 0.500 0.500 0.500
Ir1 0.247 0.247 0.247
Ir2 0.753 0.753 0.753
```

Calculated values
Total magnetic moment = 0.0 μB per formula unit
Formation energy = 0.17 eV/atom
Symmetry = No. 166
Crystal system = trigonal
Calculated total energy = -6.443 eV per atom

Record 3
Below is crystalline CuAsIr2 at its relaxed geometry, with properties calculated at the PBE level.

```
data_CuAsIr2
_chemical_formula_sum 'Cu1 As1 Ir2'
_symmetry_space_group_name_H-M 'P 1'
_symmetry_Int_Tables_number 1
_cell_length_a 2.777
_cell_length_b 2.777
_cell_length_c 9.093
_cell_angle_alpha 90.00
_cell_angle_beta 90.00
_cell_angle_gamma 120.94
loop_
_symmetry_equiv_pos_as_xyz
'x,y,z'
loop_
_atom_site_label
_atom_site_fract_x
_atom_site_fract_y
_atom_site_fract_z
Cu1 0.000 0.000 0.000
As1 0.500 0.500 0.256
Ir1 0.000 0.000 0.506
Ir2 0.500 0.500 0.759
```

Calculated values
Total magnetic moment = 0.0 μB per formula unit
Formation energy = 0.33 eV/atom
Symmetry = No. 35
Crystal system = orthorhombic
Calculated total energy = -6.291 eV per atom

Record 4
Below is crystalline CuAsIr at its relaxed geometry, with properties calculated at the PBE level.

```
data_CuAsIr
_chemical_formula_sum 'Cu4 As4 Ir4'
_symmetry_space_group_name_H-M 'P 1'
_symmetry_Int_Tables_number 1
_cell_length_a 6.816
_cell_length_b 4.661
_cell_length_c 6.924
_cell_angle_alpha 90.00
_cell_angle_beta 116.94
_cell_angle_gamma 90.00
loop_
_symmetry_equiv_pos_as_xyz
'x,y,z'
loop_
_atom_site_label
_atom_site_fract_x
_atom_site_fract_y
_atom_site_fract_z
Cu1 0.011 0.250 0.183
Cu2 0.067 0.750 0.446
Cu3 0.933 0.250 0.554
Cu4 0.989 0.750 0.817
As1 0.386 0.750 0.056
As2 0.476 0.750 0.629
As3 0.524 0.250 0.371
As4 0.614 0.250 0.944
Ir1 0.258 0.250 0.970
Ir2 0.318 0.250 0.578
Ir3 0.682 0.750 0.422
Ir4 0.742 0.750 0.030
```

Calculated values
Total magnetic moment = 0.0 μB per formula unit
Formation energy = 0.09 eV/atom
Symmetry = No. 11
Crystal system = monoclinic
Calculated total energy = -5.784 eV per atom

Record 5
Below is crystalline CuAsIr2 at its relaxed geometry, with properties calculated at the PBE level.

```
data_CuAsIr2
_chemical_formula_sum 'Cu1 As1 Ir2'
_symmetry_space_group_name_H-M 'P 1'
_symmetry_Int_Tables_number 1
_cell_length_a 4.477
_cell_length_b 4.477
_cell_length_c 4.814
_cell_angle_alpha 99.23
_cell_angle_beta 99.23
_cell_angle_gamma 37.36
loop_
_symmetry_equiv_pos_as_xyz
'x,y,z'
loop_
_atom_site_label
_atom_site_fract_x
_atom_site_fract_y
_atom_site_fract_z
Cu1 0.000 0.000 0.000
As1 0.500 0.500 0.500
Ir1 0.250 0.250 0.752
Ir2 0.750 0.750 0.248
```

Calculated values
Total magnetic moment = 0.0 μB per formula unit
Formation energy = 0.11 eV/atom
Symmetry = No. 12
Crystal system = monoclinic
Calculated total energy = -6.509 eV per atom

Record 6
Below is crystalline CuAsIr4 at its relaxed geometry, with properties calculated at the PBE level.

```
data_CuAsIr4
_chemical_formula_sum 'Cu1 As1 Ir4'
_symmetry_space_group_name_H-M 'P 1'
_symmetry_Int_Tables_number 1
_cell_length_a 5.187
_cell_length_b 5.187
_cell_length_c 5.187
_cell_angle_alpha 60.00
_cell_angle_beta 60.00
_cell_angle_gamma 60.00
loop_
_symmetry_equiv_pos_as_xyz
'x,y,z'
loop_
_atom_site_label
_atom_site_fract_x
_atom_site_fract_y
_atom_site_fract_z
Cu1 0.000 0.000 0.000
As1 0.250 0.250 0.250
Ir1 0.125 0.625 0.625
Ir2 0.625 0.125 0.625
Ir3 0.625 0.625 0.125
Ir4 0.625 0.625 0.625
```

Calculated values
Total magnetic moment = 0.0 μB per formula unit
Formation energy = 0.60 eV/atom
Symmetry = No. 216
Crystal system = cubic
Calculated total energy = -6.761 eV per atom

Copy entry 4 word for word.
Below is crystalline CuAsIr at its relaxed geometry, with properties calculated at the PBE level.

```
data_CuAsIr
_chemical_formula_sum 'Cu4 As4 Ir4'
_symmetry_space_group_name_H-M 'P 1'
_symmetry_Int_Tables_number 1
_cell_length_a 6.816
_cell_length_b 4.661
_cell_length_c 6.924
_cell_angle_alpha 90.00
_cell_angle_beta 116.94
_cell_angle_gamma 90.00
loop_
_symmetry_equiv_pos_as_xyz
'x,y,z'
loop_
_atom_site_label
_atom_site_fract_x
_atom_site_fract_y
_atom_site_fract_z
Cu1 0.011 0.250 0.183
Cu2 0.067 0.750 0.446
Cu3 0.933 0.250 0.554
Cu4 0.989 0.750 0.817
As1 0.386 0.750 0.056
As2 0.476 0.750 0.629
As3 0.524 0.250 0.371
As4 0.614 0.250 0.944
Ir1 0.258 0.250 0.970
Ir2 0.318 0.250 0.578
Ir3 0.682 0.750 0.422
Ir4 0.742 0.750 0.030
```

Calculated values
Total magnetic moment = 0.0 μB per formula unit
Formation energy = 0.09 eV/atom
Symmetry = No. 11
Crystal system = monoclinic
Calculated total energy = -5.784 eV per atom